A | # Sn3MoRh

A relaxed Sn3MoRh crystal (GGA-PBE, Alexandria via LeMat-Bulk). Values from VASP.

```
&SYSTEM
  ibrav = 0, nat = 5, ntyp = 3
/
ATOMIC_SPECIES
Sn 118.71 Sn.upf
Rh 102.91 Rh.upf
Mo 95.94 Mo.upf
CELL_PARAMETERS angstrom
5.089 0.000 0.000
0.000 5.089 0.000
0.000 0.000 5.089
ATOMIC_POSITIONS angstrom
Sn 2.544 0.000 0.000
Sn 0.000 2.544 0.000
Sn 0.000 0.000 2.544
Rh 0.000 0.000 0.000
Mo 2.544 2.544 2.544
```


B | # Sn3MoRh

A relaxed Sn3MoRh crystal (GGA-PBE, Alexandria via LeMat-Bulk). Values from VASP.

```
&SYSTEM
  ibrav = 0, nat = 5, ntyp = 3
/
ATOMIC_SPECIES
Sn 118.71 Sn.upf
Mo 95.94 Mo.upf
Rh 102.91 Rh.upf
CELL_PARAMETERS angstrom
5.169 0.000 0.000
0.000 5.169 0.000
0.000 0.000 5.169
ATOMIC_POSITIONS angstrom
Sn 2.585 0.000 0.000
Sn 0.000 2.585 0.000
Sn 0.000 0.000 2.585
Mo 0.000 0.000 0.000
Rh 2.585 2.585 2.585
```


So which one is most stable? That would be A, about 0.124 eV/atom below the next structure.